## VF5 (PBE+U)

Data for VF5 after structural relaxation.

Lattice parameters (Å, degrees): 5.1793 8.8672 10.0990 90.00 119.96 90.00
Space group P2_1/c (No. 14)
Symmetry-distinct sites (fractional):
V  0.0084  0.2461  0.4079 (multiplicity 4)
F  0.0019  0.7422  0.4226 (multiplicity 4)
F  0.1898  0.5812  0.6601 (multiplicity 4)
F  0.2165  0.0749  0.4679 (multiplicity 4)
F  0.2845  0.6505  0.2444 (multiplicity 4)
F  0.3089  0.1717  0.9005 (multiplicity 4)

Properties
Magnetization, μB/atom: 0.012
E, eV/atom: -5.24